Below is an optimized crystal structure of HfPaCo5As2, with properties calculated at the GGA-PBE level.

magnetization	0.12	μB per atom
density	11.0	Mg/m³
space-group type	P4/mmm (123)
ΔH_f (0 K)	-0.357	eV per atom

a = 3.889 Å, b = 3.889 Å, c = 8.512 Å
α = 90.00°, β = 90.00°, γ = 90.00°
Fractional coordinates of all 9 atoms:
As (0.500, 0.500, 0.856)
As (0.500, 0.500, 0.144)
Hf (0.000, 0.000, 0.000)
Pa (0.000, 0.000, 0.500)
Co (0.000, 0.500, 0.278)
Co (0.500, 0.500, 0.500)
Co (0.000, 0.500, 0.722)
Co (0.500, 0.000, 0.722)
Co (0.500, 0.000, 0.278)

Below is an optimized crystal structure of HfPaCo2As2, with properties calculated at the GGA-PBE level.

magnetization	0.00	μB per atom
density	11.2	Mg/m³
space-group type	P-3m1 (164)
ΔH_f (0 K)	-0.784	eV per atom

a = 3.950 Å, b = 3.950 Å, c = 7.440 Å
α = 90.00°, β = 90.00°, γ = 120.00°
Fractional coordinates of all 6 atoms:
Pa (0.000, 0.000, 0.000)
As (0.667, 0.333, 0.720)
As (0.333, 0.667, 0.280)
Co (0.667, 0.333, 0.231)
Co (0.333, 0.667, 0.769)
Hf (0.000, 0.000, 0.500)

Below is an optimized crystal structure of HfCoAs2Pd, with properties calculated at the GGA-PBE level.

magnetization	0.20	μB per atom
density	7.0	Mg/m³
space-group type	P4/mmm (123)
ΔH_f (0 K)	0.869	eV per atom

a = 5.047 Å, b = 4.571 Å, c = 5.047 Å
α = 90.00°, β = 90.00°, γ = 90.00°
Fractional coordinates of all 5 atoms:
Pd (0.500, 0.500, 0.500)
Co (0.000, 0.500, 0.000)
As (0.000, 0.000, 0.500)
As (0.500, 0.000, 0.000)
Hf (0.000, 0.000, 0.000)

Below is an optimized crystal structure of HfCoAsSe2, with properties calculated at the GGA-PBE level.

magnetization	0.00	μB per atom
density	8.0	Mg/m³
space-group type	P4/mmm (123)
formation energy without anion corrections	0.81	eV per formula unit
energy above the most stable polymorph in this dataset	0	meV per atom

a = 4.695 Å, b = 4.695 Å, c = 4.436 Å
α = 90.00°, β = 90.00°, γ = 90.00°
Fractional coordinates of all 5 atoms:
As (0.000, 0.000, 0.500)
Se (0.500, 0.000, 0.000)
Se (0.000, 0.500, 0.000)
Hf (0.500, 0.500, 0.500)
Co (0.000, 0.000, 0.000)

Below is an optimized crystal structure of HfCoAs2Se, with properties calculated at the GGA-PBE level.

magnetization	0.49	μB per atom
density	5.8	Mg/m³
space-group type	P4/mmm (123)
formation energy without anion corrections	3.15	eV per formula unit
energy above the most stable polymorph in this dataset	403	meV per atom

a = 5.140 Å, b = 5.140 Å, c = 5.084 Å
α = 90.00°, β = 90.00°, γ = 90.00°
Fractional coordinates of all 5 atoms:
Hf (0.000, 0.000, 0.000)
Se (0.000, 0.000, 0.500)
Co (0.500, 0.500, 0.500)
As (0.000, 0.500, 0.000)
As (0.500, 0.000, 0.000)

Below is an optimized crystal structure of HfCoAsSe2, with properties calculated at the GGA-PBE level.

magnetization	0.57	μB per atom
density	5.8	Mg/m³
space-group type	P4/mmm (123)
formation energy without anion corrections	2.10	eV per formula unit
energy above the most stable polymorph in this dataset	258	meV per atom

a = 5.111 Å, b = 5.111 Å, c = 5.188 Å
α = 90.00°, β = 90.00°, γ = 90.00°
Fractional coordinates of all 5 atoms:
Hf (0.000, 0.000, 0.000)
Co (0.500, 0.500, 0.500)
Se (0.000, 0.500, 0.000)
Se (0.500, 0.000, 0.000)
As (0.000, 0.000, 0.500)

Below is an optimized crystal structure of HfCoAs2Se, with properties calculated at the GGA-PBE level.

magnetization	0.00	μB per atom
density	8.0	Mg/m³
space-group type	P4/mmm (123)
formation energy without anion corrections	1.13	eV per formula unit
energy above the most stable polymorph in this dataset	0	meV per atom

a = 4.465 Å, b = 4.465 Å, c = 4.865 Å
α = 90.00°, β = 90.00°, γ = 90.00°
Fractional coordinates of all 5 atoms:
As (0.500, 0.000, 0.000)
As (0.000, 0.500, 0.000)
Se (0.000, 0.000, 0.500)
Co (0.000, 0.000, 0.000)
Hf (0.500, 0.500, 0.500)

Below is an optimized crystal structure of HfCoTc2As, with properties calculated at the GGA-PBE level.

magnetization	0.82	μB per atom
density	8.0	Mg/m³
space-group type	P4/mmm (123)
ΔH_f (0 K)	1.735	eV per atom

a = 4.818 Å, b = 4.530 Å, c = 4.818 Å
α = 90.00°, β = 90.00°, γ = 90.00°
Fractional coordinates of all 5 atoms:
Hf (0.000, 0.000, 0.000)
As (0.500, 0.500, 0.500)
Tc (0.000, 0.000, 0.500)
Tc (0.500, 0.000, 0.000)
Co (0.000, 0.500, 0.000)

Copy entry 5 word for word.
Below is an optimized crystal structure of HfCoAs2Se, with properties calculated at the GGA-PBE level.

magnetization	0.49	μB per atom
density	5.8	Mg/m³
space-group type	P4/mmm (123)
formation energy without anion corrections	3.15	eV per formula unit
energy above the most stable polymorph in this dataset	403	meV per atom

a = 5.140 Å, b = 5.140 Å, c = 5.084 Å
α = 90.00°, β = 90.00°, γ = 90.00°
Fractional coordinates of all 5 atoms:
Hf (0.000, 0.000, 0.000)
Se (0.000, 0.000, 0.500)
Co (0.500, 0.500, 0.500)
As (0.000, 0.500, 0.000)
As (0.500, 0.000, 0.000)

Question: Number 4 is which compound?
Answer: HfCoAsSe2

Question: Which formula does entry 8 have?
Answer: HfCoTc2As